First-principles (PBE-GGA) data for a relaxed structure of Pr12Dy5Tl2, as listed in the Alexandria database.

Computed properties:
* SG: C2/m, No. 12

```
Pr12Dy5Tl2
1.0
7.823 -4.747 0.000
7.823 4.747 0.000
-0.509 0.000 8.708
Pr Dy Tl
12 5 2
direct
0.057 0.057 0.319 Pr
0.071 0.682 0.343 Pr
0.164 0.534 0.766 Pr
0.318 0.929 0.657 Pr
0.417 0.417 0.116 Pr
0.466 0.836 0.234 Pr
0.534 0.164 0.766 Pr
0.583 0.583 0.884 Pr
0.682 0.071 0.343 Pr
0.836 0.466 0.234 Pr
0.929 0.318 0.657 Pr
0.943 0.943 0.681 Pr
0.185 0.185 0.006 Dy
0.268 0.268 0.414 Dy
0.500 0.500 0.500 Dy
0.732 0.732 0.586 Dy
0.815 0.815 0.994 Dy
0.181 0.819 0.000 Tl
0.819 0.181 0.000 Tl
```

---

First-principles (PBE-GGA) data for a relaxed structure of PrDy6Tl, as listed in the Alexandria database.

Computed properties:
* SG: P4/mmm, No. 123

```
PrDy6Tl
1.0
4.918 0.000 0.000
0.000 4.918 0.000
0.000 0.000 10.130
Pr Dy Tl
1 6 1
direct
0.000 0.000 0.000 Pr
0.000 0.500 0.258 Dy
0.000 0.500 0.742 Dy
0.500 0.000 0.258 Dy
0.500 0.000 0.742 Dy
0.500 0.500 0.000 Dy
0.500 0.500 0.500 Dy
0.000 0.000 0.500 Tl
```

---

First-principles (PBE-GGA) data for a relaxed structure of Pr2DyTl, as listed in the Alexandria database.

Computed properties:
* E above lowest polymorph: 0.36 eV per formula unit
* SG: Cmcm, No. 63

```
Pr2DyTl
1.0
5.037 -4.056 0.000
5.037 4.056 0.000
0.000 0.000 6.256
Pr Dy Tl
4 2 2
direct
0.015 0.369 0.250 Pr
0.369 0.015 0.750 Pr
0.631 0.985 0.250 Pr
0.985 0.631 0.750 Pr
0.156 0.844 0.250 Dy
0.844 0.156 0.750 Dy
0.500 0.500 0.000 Tl
0.500 0.500 0.500 Tl
```

---

First-principles (PBE-GGA) data for a relaxed structure of Pr3Dy6Tl, as listed in the Alexandria database.

Computed properties:
* SG: Cmc2_1, No. 36

```
Pr3Dy6Tl
1.0
5.448 -9.690 0.000
5.448 9.690 0.000
0.000 0.000 6.192
Pr Dy Tl
6 12 2
direct
0.105 0.895 0.500 Pr
0.221 0.448 0.128 Pr
0.448 0.221 0.628 Pr
0.552 0.779 0.128 Pr
0.779 0.552 0.628 Pr
0.895 0.105 0.000 Pr
0.062 0.467 0.668 Dy
0.119 0.210 0.517 Dy
0.210 0.119 0.017 Dy
0.219 0.781 0.915 Dy
0.440 0.560 0.633 Dy
0.467 0.062 0.168 Dy
0.533 0.938 0.668 Dy
0.560 0.440 0.133 Dy
0.781 0.219 0.415 Dy
0.790 0.881 0.517 Dy
0.881 0.790 0.017 Dy
0.938 0.533 0.168 Dy
0.268 0.732 0.399 Tl
0.732 0.268 0.899 Tl
```

---

First-principles (PBE-GGA) data for a relaxed structure of PrDy6Tl2, as listed in the Alexandria database.

Computed properties:
* E above lowest polymorph: 5.99 eV per formula unit
* SG: I-42m, No. 121

```
PrDy6Tl2
1.0
-2.828 2.828 10.473
2.828 -2.828 10.473
2.828 2.828 -10.473
Pr Dy Tl
1 6 2
direct
0.000 0.000 0.000 Pr
0.239 0.626 0.000 Dy
0.250 0.750 0.500 Dy
0.374 0.374 0.613 Dy
0.626 0.239 0.000 Dy
0.750 0.250 0.500 Dy
0.761 0.761 0.387 Dy
0.308 0.308 0.000 Tl
0.692 0.692 0.000 Tl
```

---

First-principles (PBE-GGA) data for a relaxed structure of PrDy4Tl7, as listed in the Alexandria database.

Computed properties:
* SG: C2/m, No. 12

```
PrDy4Tl7
1.0
6.674 -2.891 0.000
6.674 2.891 0.000
-6.435 0.000 9.548
Pr Dy Tl
1 4 7
direct
0.000 0.000 0.000 Pr
0.279 0.279 0.670 Dy
0.413 0.413 0.217 Dy
0.587 0.587 0.783 Dy
0.721 0.721 0.330 Dy
0.079 0.079 0.329 Tl
0.215 0.215 0.894 Tl
0.365 0.365 0.455 Tl
0.500 0.500 0.000 Tl
0.635 0.635 0.545 Tl
0.785 0.785 0.106 Tl
0.921 0.921 0.671 Tl
```

---

First-principles (PBE-GGA) data for a relaxed structure of PrDy12Tl6, as listed in the Alexandria database.

Computed properties:
* SG: R-3m, No. 166

```
PrDy12Tl6
1.0
6.988 4.034 3.754
-6.988 4.034 3.754
0.000 -8.069 3.754
Pr Dy Tl
1 12 6
direct
0.000 0.000 0.000 Pr
0.127 0.500 0.873 Dy
0.127 0.873 0.500 Dy
0.181 0.448 0.448 Dy
0.448 0.181 0.448 Dy
0.448 0.448 0.181 Dy
0.500 0.127 0.873 Dy
0.500 0.873 0.127 Dy
0.552 0.552 0.819 Dy
0.552 0.819 0.552 Dy
0.819 0.552 0.552 Dy
0.873 0.127 0.500 Dy
0.873 0.500 0.127 Dy
0.239 0.239 0.694 Tl
0.239 0.694 0.239 Tl
0.306 0.761 0.761 Tl
0.694 0.239 0.239 Tl
0.761 0.306 0.761 Tl
0.761 0.761 0.306 Tl
```

---

First-principles (PBE-GGA) data for a relaxed structure of PrDy4Tl2, as listed in the Alexandria database.

Computed properties:
* E above lowest polymorph: 1.44 eV per formula unit
* SG: R-3m, No. 166

```
PrDy4Tl2
1.0
2.556 1.476 10.499
-2.556 1.476 10.499
0.000 -2.952 10.499
Pr Dy Tl
1 4 2
direct
0.000 0.000 0.000 Pr
0.204 0.204 0.204 Dy
0.392 0.392 0.392 Dy
0.608 0.608 0.608 Dy
0.796 0.796 0.796 Dy
0.102 0.102 0.102 Tl
0.898 0.898 0.898 Tl
```

---

First-principles (PBE-GGA) data for a relaxed structure of Pr6DyTl2, as listed in the Alexandria database.

Computed properties:
* E above lowest polymorph: 0.27 eV per formula unit
* SG: C2/c, No. 15

```
Pr6DyTl2
1.0
8.143 -5.960 0.000
8.143 5.960 0.000
-0.959 0.000 5.987
Pr Dy Tl
12 2 4
direct
0.054 0.828 0.965 Pr
0.139 0.386 0.167 Pr
0.172 0.946 0.535 Pr
0.275 0.497 0.699 Pr
0.386 0.139 0.667 Pr
0.497 0.275 0.199 Pr
0.503 0.725 0.801 Pr
0.614 0.861 0.333 Pr
0.725 0.503 0.301 Pr
0.828 0.054 0.465 Pr
0.861 0.614 0.833 Pr
0.946 0.172 0.035 Pr
0.354 0.646 0.250 Dy
0.646 0.354 0.750 Dy
0.017 0.293 0.600 Tl
0.293 0.017 0.100 Tl
0.707 0.983 0.900 Tl
0.983 0.707 0.400 Tl
```

---

First-principles (PBE-GGA) data for a relaxed structure of Pr3Dy12Tl, as listed in the Alexandria database.

Computed properties:
* SG: P4/mmm, No. 123

```
Pr3Dy12Tl
1.0
4.994 0.000 0.000
0.000 4.994 0.000
0.000 0.000 20.298
Pr Dy Tl
3 12 1
direct
0.000 0.000 0.000 Pr
0.000 0.000 0.252 Pr
0.000 0.000 0.748 Pr
0.000 0.500 0.127 Dy
0.000 0.500 0.380 Dy
0.000 0.500 0.620 Dy
0.000 0.500 0.873 Dy
0.500 0.000 0.127 Dy
0.500 0.000 0.380 Dy
0.500 0.000 0.620 Dy
0.500 0.000 0.873 Dy
0.500 0.500 0.000 Dy
0.500 0.500 0.257 Dy
0.500 0.500 0.500 Dy
0.500 0.500 0.743 Dy
0.000 0.000 0.500 Tl
```

---

First-principles (PBE-GGA) data for a relaxed structure of Pr8DyTl6, as listed in the Alexandria database.

Computed properties:
* SG: R-3, No. 148

```
Pr8DyTl6
1.0
4.688 2.707 6.692
-4.688 2.707 6.692
0.000 -5.413 6.692
Pr Dy Tl
8 1 6
direct
0.050 0.388 0.724 Pr
0.165 0.165 0.165 Pr
0.276 0.950 0.612 Pr
0.388 0.724 0.050 Pr
0.612 0.276 0.950 Pr
0.724 0.050 0.388 Pr
0.835 0.835 0.835 Pr
0.950 0.612 0.276 Pr
0.500 0.500 0.500 Dy
0.118 0.768 0.444 Tl
0.232 0.556 0.882 Tl
0.444 0.118 0.768 Tl
0.556 0.882 0.232 Tl
0.768 0.444 0.118 Tl
0.882 0.232 0.556 Tl
```

---

First-principles (PBE-GGA) data for a relaxed structure of Pr7DyTl2, as listed in the Alexandria database.

Computed properties:
* SG: Cmmm, No. 65

```
Pr7DyTl2
1.0
4.730 -8.145 0.000
4.730 8.145 0.000
0.000 0.000 5.420
Pr Dy Tl
7 1 2
direct
0.000 0.000 0.000 Pr
0.199 0.437 0.000 Pr
0.278 0.722 0.500 Pr
0.437 0.199 0.000 Pr
0.563 0.801 0.000 Pr
0.722 0.278 0.500 Pr
0.801 0.563 0.000 Pr
0.500 0.500 0.500 Dy
0.193 0.807 0.000 Tl
0.807 0.193 0.000 Tl
```

---

Asked for DOS(E_F) across the records above, the calculation gives 1.393 1.160 1.351 1.411 1.229 0.678 1.519 1.267 1.194 1.286 1.547 1.966 states/eV per atom in order.
Asked for VASP energy across the records above, the calculation gives -0.328 -0.324 -0.312 -0.324 -0.265 -0.252 -0.288 -0.287 -0.320 -0.332 -0.292 -0.291 Ry/atom in order.
Asked for energy relative to the elements across the records above, the calculation gives 9 -64 -107 30 525 -113 -10 87 -124 -19 -173 322 meV per atom in order.